DFT (GGA-PBE) results for a geometry-optimized InPb2 structure.

abc: 6.5578 6.5578 6.5578
angles: 60.00 60.00 60.00
Closest atoms and distances in Å follow each position.
Sites, in units of the cell vectors:
Pb: 0.1250 0.1250 0.6250  6 Pb 3.28
In: 0.7500 0.7500 0.7500  12 Pb 3.84, 4 In 4.02
Pb: 0.1250 0.1250 0.1250  6 Pb 3.28
In: 0.5000 0.5000 0.5000  12 Pb 3.84, 4 In 4.02
Pb: 0.1250 0.6250 0.1250  6 Pb 3.28
Pb: 0.6250 0.1250 0.1250  6 Pb 3.28

Values from the calculation:
Magnetic moment, μB per atom: 0.0000
DOS(E_F), states/eV/cell: 5.43
Space-group type: Fd-3m
Calculated total energy, eV per atom: -3.23